(1)
# Lu2Ge, optimized geometry, DFT PBE
data_Lu2Ge
_chemical_formula_sum 'Lu6 Ge3'
_cell_length_a 7.737
_cell_length_b 7.737
_cell_length_c 4.137
_cell_angle_alpha 90.00
_cell_angle_beta 90.00
_cell_angle_gamma 120.00
_space_group_name_H-M_alt 'P 1'
_space_group_IT_number 1
loop_
_space_group_symop_operation_xyz
'x,y,z'
loop_
_atom_site_label
_atom_site_fract_x
_atom_site_fract_y
_atom_site_fract_z
Lu1 0.000 0.400 0.000
Lu2 0.000 0.735 0.500
Lu3 0.265 0.265 0.500
Lu4 0.400 0.000 0.000
Lu5 0.600 0.600 0.000
Lu6 0.735 0.000 0.500
Ge1 0.000 0.000 0.000
Ge2 0.333 0.667 0.500
Ge3 0.667 0.333 0.500
# Space-group type: No. 189

---

(2)
# Lu2Ge, optimized geometry, DFT PBE
data_Lu2Ge
_chemical_formula_sum 'Lu8 Ge4'
_cell_length_a 6.430
_cell_length_b 4.317
_cell_length_c 10.247
_cell_angle_alpha 90.00
_cell_angle_beta 90.00
_cell_angle_gamma 90.00
_space_group_name_H-M_alt 'P 1'
_space_group_IT_number 1
loop_
_space_group_symop_operation_xyz
'x,y,z'
loop_
_atom_site_label
_atom_site_fract_x
_atom_site_fract_y
_atom_site_fract_z
Lu1 0.047 0.250 0.224
Lu2 0.187 0.250 0.545
Lu3 0.313 0.750 0.045
Lu4 0.453 0.750 0.724
Lu5 0.547 0.250 0.276
Lu6 0.687 0.250 0.955
Lu7 0.813 0.750 0.455
Lu8 0.953 0.750 0.776
Ge1 0.220 0.250 0.862
Ge2 0.280 0.750 0.362
Ge3 0.720 0.250 0.638
Ge4 0.780 0.750 0.138
# Space-group type: No. 62

---

Number 1: calculated total energy -5.1552 eV/atom, mass density 9.8 g/cm3. Number 2: calculated total energy -5.1628 eV/atom, mass density 9.9 g/cm3.